VASP calculation (GGA-PBE) on BaIn2Re after structural relaxation.

Computed properties:
ΔE_f: 0.87 eV per atom
Spin magnetization: 0.02 μB per cell
Polymorph energy (0 for the lowest one): 0.5089 eV per atom

Unit cell a=6.0131 b=6.0131 c=3.0435 alpha=94.82 beta=94.82 gamma=114.60
Positions (direct):
Ba  0.0000  0.0000  0.0000
In  0.0000  0.5000  0.5000
In  0.5000  0.0000  0.5000
Re  0.5000  0.5000  0.0000

VASP calculation (GGA-PBE) on BaInRe2 after structural relaxation.

Computed properties:
ΔE_f: 1.46 eV per atom
Spin magnetization: 0.05 μB per cell

Unit cell a=2.9357 b=5.3317 c=5.4346 alpha=90.00 beta=90.00 gamma=90.00
Positions (direct):
Ba  0.0000  0.0000  0.0000
In  0.5000  0.0000  0.5000
Re  0.0000  0.5000  0.5000
Re  0.5000  0.5000  0.0000

VASP calculation (GGA-PBE) on BaIn2Re after structural relaxation.

Computed properties:
ΔE_f: 0.53 eV per atom
Spin magnetization: 0.00 μB per cell
Polymorph energy (0 for the lowest one): 0.1631 eV per atom

Unit cell a=6.7532 b=6.7532 c=6.7532 alpha=153.92 beta=126.82 gamma=60.17
Positions (direct):
Ba  0.0000  0.0000  0.0000
In  0.2963  0.7963  0.5000
In  0.7037  0.2037  0.5000
Re  0.5000  0.5000  0.0000

VASP calculation (GGA-PBE) on BaIn2Re after structural relaxation.

Computed properties:
ΔE_f: 0.40 eV per atom
Spin magnetization: 1.01 μB per cell
Polymorph energy (0 for the lowest one): 0.0329 eV per atom

Unit cell a=4.6859 b=4.6859 c=6.7428 alpha=110.40 beta=110.40 gamma=60.09
Positions (direct):
Ba  0.0000  0.0000  0.0000
In  0.2078  0.2078  0.6233
In  0.7922  0.7922  0.3767
Re  0.5000  0.5000  0.5000

VASP calculation (GGA-PBE) on BaIn2Re after structural relaxation.

Computed properties:
ΔE_f: 0.65 eV per atom
Spin magnetization: 1.96 μB per cell
Polymorph energy (0 for the lowest one): 0.2856 eV per atom

Unit cell a=9.7906 b=9.7906 c=9.7906 alpha=146.06 beta=146.06 gamma=48.76
Positions (direct):
Ba  0.0000  0.0000  0.0000
Ba  0.7500  0.2500  0.5000
In  0.3456  0.6250  0.2206
In  0.3750  0.5956  0.7206
In  0.4044  0.1250  0.7794
In  0.8750  0.6544  0.2794
Re  0.2500  0.7500  0.5000
Re  0.5000  0.5000  0.0000

VASP calculation (GGA-PBE) on BaInRe2 after structural relaxation.

Computed properties:
ΔE_f: 1.31 eV per atom
Spin magnetization: 0.00 μB per cell

Unit cell a=6.3190 b=6.3190 c=6.3190 alpha=153.99 beta=128.20 gamma=58.86
Positions (direct):
Ba  0.0000  0.0000  0.0000
In  0.5000  0.5000  0.0000
Re  0.2785  0.7785  0.5000
Re  0.7215  0.2215  0.5000

VASP calculation (GGA-PBE) on Ba2InReRu after structural relaxation.

Computed properties:
ΔE_f: 1.63 eV per atom
Spin magnetization: 4.30 μB per cell

Unit cell a=6.3706 b=6.3706 c=4.9435 alpha=90.00 beta=90.00 gamma=90.00
Positions (direct):
Ba  0.0000  0.5000  0.0000
Ba  0.5000  0.0000  0.0000
In  0.0000  0.0000  0.0000
Re  0.5000  0.5000  0.5000
Ru  0.0000  0.0000  0.5000

VASP calculation (GGA-PBE) on BaInRe2Sb after structural relaxation.

Computed properties:
Spin magnetization: 2.58 μB per cell
Energy relative to the elements, uncorrected: 1449 meV/atom

Unit cell a=5.0631 b=5.0631 c=5.7381 alpha=90.00 beta=90.00 gamma=90.00
Positions (direct):
Ba  0.0000  0.0000  0.0000
In  0.5000  0.5000  0.0000
Re  0.0000  0.5000  0.5000
Re  0.5000  0.0000  0.5000
Sb  0.5000  0.5000  0.5000

VASP calculation (GGA-PBE) on Ba2InReSn after structural relaxation.

Computed properties:
ΔE_f: 1.19 eV per atom
Spin magnetization: 4.01 μB per cell

Unit cell a=6.5760 b=6.5760 c=5.3434 alpha=90.00 beta=90.00 gamma=90.00
Positions (direct):
Ba  0.0000  0.5000  0.0000
Ba  0.5000  0.0000  0.0000
In  0.0000  0.0000  0.0000
Re  0.5000  0.5000  0.5000
Sn  0.0000  0.0000  0.5000

VASP calculation (GGA-PBE) on BaZn2InRe after structural relaxation.

Computed properties:
ΔE_f: 0.70 eV per atom
Spin magnetization: 0.00 μB per cell

Unit cell a=5.0600 b=5.0600 c=5.5028 alpha=90.00 beta=90.00 gamma=90.00
Positions (direct):
Ba  0.0000  0.0000  0.0000
Zn  0.0000  0.5000  0.5000
Zn  0.5000  0.0000  0.5000
In  0.5000  0.5000  0.0000
Re  0.0000  0.0000  0.5000

VASP calculation (GGA-PBE) on Ba2In7Rh after structural relaxation.

Computed properties:
ΔE_f: -0.32 eV per atom
Spin magnetization: 0.00 μB per cell

Unit cell a=4.9546 b=4.9546 c=11.8963 alpha=90.00 beta=90.00 gamma=90.00
Positions (direct):
Ba  0.0000  0.5000  0.2336
Ba  0.5000  0.0000  0.7664
In  0.0000  0.0000  0.0000
In  0.0000  0.0000  0.5000
In  0.0000  0.5000  0.6433
In  0.0000  0.5000  0.8875
In  0.5000  0.0000  0.1125
In  0.5000  0.0000  0.3567
In  0.5000  0.5000  0.5000
Rh  0.5000  0.5000  0.0000

VASP calculation (GGA-PBE) on BaIn2Rh after structural relaxation.

Computed properties:
ΔE_f: -0.13 eV per atom
Spin magnetization: 0.00 μB per cell

Unit cell a=5.7454 b=5.7454 c=5.7454 alpha=125.49 beta=117.87 gamma=87.25
Positions (direct):
Ba  0.0000  0.0000  0.0000
In  0.4370  0.4370  0.0000
In  0.7233  0.2233  0.5000
Rh  0.4119  0.9119  0.5000